i.
{
  "formula": "PtWO2",
  "functional": "GGA-PBEsol",
  "state": "optimized geometry",
  "lattice_angstrom": [[2.847, 0.000, 0.000], [1.424, 2.466, 0.000], [1.424, 0.822, 7.183]],
  "species": ["O", "O", "W", "Pt"],
  "fractional_positions": [[0.915, 0.915, 0.256], [0.085, 0.085, 0.744], [0.000, 0.000, 0.000], [0.500, 0.500, 0.500]]
}

ii.
{
  "formula": "PtWO2",
  "functional": "GGA-PBEsol",
  "state": "optimized geometry",
  "lattice_angstrom": [[-3.714, 1.217, -0.468], [-2.680, -0.743, 2.785], [-1.403, 2.935, 2.215]],
  "species": ["O", "O", "W", "Pt"],
  "fractional_positions": [[0.250, 0.250, 0.250], [0.750, 0.750, 0.750], [0.000, 0.000, 0.000], [0.500, 0.500, 0.500]]
}

Q: Which of them is the least stable? A: ii.

i.
{
  "formula": "ReRhO2",
  "functional": "GGA-PBEsol",
  "state": "optimized geometry",
  "lattice_angstrom": [[-1.331, -3.569, -0.608], [2.298, -2.675, -1.561], [1.287, -2.931, 2.152]],
  "species": ["Re", "Rh", "O", "O"],
  "fractional_positions": [[0.500, 0.500, 0.500], [0.000, 0.000, 0.000], [0.250, 0.250, 0.250], [0.750, 0.750, 0.750]]
}

ii.
{
  "formula": "ReRhO2",
  "functional": "GGA-PBEsol",
  "state": "optimized geometry",
  "lattice_angstrom": [[-0.799, 1.199, -2.461], [-0.992, -1.626, -2.122], [-6.530, 0.534, 0.728]],
  "species": ["Re", "Rh", "O", "O"],
  "fractional_positions": [[0.000, 0.000, 0.000], [0.500, 0.500, 0.500], [0.896, 0.896, 0.311], [0.104, 0.104, 0.689]]
}

Q: Which of them is the least stable? A: i.

i.
{
  "formula": "Re2S2O13",
  "functional": "GGA-PBEsol",
  "state": "optimized geometry",
  "lattice_angstrom": [[6.155, 0.000, 0.000], [0.000, 8.485, 0.000], [0.000, 0.000, 9.679]],
  "species": ["Re", "Re", "Re", "Re", "S", "S", "S", "S", "O", "O", "O", "O", "O", "O", "O", "O", "O", "O", "O", "O", "O", "O", "O", "O", "O", "O", "O", "O", "O", "O", "O", "O", "O", "O"],
  "fractional_positions": [[0.968, 0.176, 0.608], [0.968, 0.824, 0.392], [0.968, 0.676, 0.892], [0.968, 0.324, 0.108], [0.286, 0.363, 0.825], [0.286, 0.637, 0.175], [0.286, 0.863, 0.675], [0.286, 0.137, 0.325], [0.152, 0.336, 0.689], [0.152, 0.664, 0.311], [0.152, 0.836, 0.811], [0.152, 0.164, 0.189], [0.170, 0.270, 0.933], [0.170, 0.730, 0.067], [0.170, 0.770, 0.567], [0.170, 0.230, 0.433], [0.259, 0.534, 0.851], [0.259, 0.466, 0.149], [0.259, 0.034, 0.649], [0.259, 0.966, 0.351], [0.505, 0.317, 0.805], [0.505, 0.683, 0.195], [0.505, 0.817, 0.695], [0.505, 0.183, 0.305], [0.894, 0.000, 0.500], [0.894, 0.500, 0.000], [0.863, 0.109, 0.760], [0.863, 0.891, 0.240], [0.863, 0.609, 0.740], [0.863, 0.391, 0.260], [0.774, 0.302, 0.549], [0.774, 0.698, 0.451], [0.774, 0.802, 0.951], [0.774, 0.198, 0.049]]
}

ii.
{
  "formula": "Re2S2O13",
  "functional": "GGA-PBEsol",
  "state": "optimized geometry",
  "lattice_angstrom": [[-0.364, -2.583, -6.692], [6.707, -3.362, 0.934], [-7.840, -14.020, 5.838]],
  "species": ["Re", "Re", "Re", "Re", "Re", "Re", "Re", "Re", "S", "S", "S", "S", "S", "S", "S", "S", "O", "O", "O", "O", "O", "O", "O", "O", "O", "O", "O", "O", "O", "O", "O", "O", "O", "O", "O", "O", "O", "O", "O", "O", "O", "O", "O", "O", "O", "O", "O", "O", "O", "O", "O", "O", "O", "O", "O", "O", "O", "O", "O", "O", "O", "O", "O", "O", "O", "O", "O", "O"],
  "fractional_positions": [[0.845, 0.744, 0.899], [0.155, 0.256, 0.399], [0.655, 0.744, 0.101], [0.345, 0.256, 0.601], [0.155, 0.256, 0.101], [0.845, 0.744, 0.601], [0.345, 0.256, 0.899], [0.655, 0.744, 0.399], [0.750, 0.127, 0.000], [0.250, 0.873, 0.500], [0.250, 0.873, 0.000], [0.750, 0.127, 0.500], [0.125, 0.774, 0.750], [0.875, 0.226, 0.250], [0.375, 0.774, 0.250], [0.625, 0.226, 0.750], [0.750, 0.703, 0.000], [0.250, 0.297, 0.500], [0.250, 0.297, 0.000], [0.750, 0.703, 0.500], [0.640, 0.774, 0.852], [0.360, 0.226, 0.352], [0.860, 0.774, 0.148], [0.140, 0.226, 0.648], [0.360, 0.226, 0.148], [0.640, 0.774, 0.648], [0.140, 0.226, 0.852], [0.860, 0.774, 0.352], [0.898, 0.529, 0.879], [0.102, 0.471, 0.379], [0.602, 0.529, 0.121], [0.398, 0.471, 0.621], [0.102, 0.471, 0.121], [0.898, 0.529, 0.621], [0.398, 0.471, 0.879], [0.602, 0.529, 0.379], [0.840, 0.015, 0.939], [0.160, 0.985, 0.439], [0.660, 0.015, 0.061], [0.340, 0.985, 0.561], [0.160, 0.985, 0.061], [0.840, 0.015, 0.561], [0.340, 0.985, 0.939], [0.660, 0.015, 0.439], [0.293, 0.872, 0.750], [0.707, 0.128, 0.250], [0.207, 0.872, 0.250], [0.793, 0.128, 0.750], [0.124, 0.585, 0.750], [0.876, 0.415, 0.250], [0.376, 0.585, 0.250], [0.624, 0.415, 0.750], [0.003, 0.844, 0.820], [0.997, 0.156, 0.320], [0.497, 0.844, 0.180], [0.503, 0.156, 0.680], [0.997, 0.156, 0.180], [0.003, 0.844, 0.680], [0.503, 0.156, 0.820], [0.497, 0.844, 0.320], [0.891, 0.244, 0.035], [0.109, 0.756, 0.535], [0.609, 0.244, 0.965], [0.391, 0.756, 0.465], [0.109, 0.756, 0.965], [0.891, 0.244, 0.465], [0.391, 0.756, 0.035], [0.609, 0.244, 0.535]]
}

Q: Which of them is the least stable? A: ii.

i.
{
  "formula": "Re3SnO",
  "functional": "GGA-PBEsol",
  "state": "optimized geometry",
  "lattice_angstrom": [[4.130, 0.000, 0.000], [0.000, 4.130, 0.000], [0.000, 0.000, 4.130]],
  "species": ["Re", "Re", "Re", "Sn", "O"],
  "fractional_positions": [[0.000, 0.500, 0.000], [0.000, 0.000, 0.500], [0.500, 0.000, 0.000], [0.500, 0.500, 0.500], [0.000, 0.000, 0.000]]
}

ii.
{
  "formula": "Re3SnO",
  "functional": "GGA-PBEsol",
  "state": "optimized geometry",
  "lattice_angstrom": [[4.824, 0.000, 0.000], [0.000, 4.824, 0.000], [0.000, 0.000, 4.824]],
  "species": ["Re", "Re", "Re", "Sn", "O"],
  "fractional_positions": [[0.000, 0.500, 0.000], [0.000, 0.000, 0.500], [0.500, 0.000, 0.000], [0.000, 0.000, 0.000], [0.500, 0.500, 0.500]]
}

Q: Which of them is the least stable? A: ii.

i.
{
  "formula": "Y7ReO14",
  "functional": "GGA-PBEsol",
  "state": "optimized geometry",
  "lattice_angstrom": [[7.453, 0.000, 0.000], [0.000, 7.504, 0.000], [0.000, 0.000, 10.512]],
  "species": ["Y", "Y", "Y", "Y", "Y", "Y", "Y", "Y", "Y", "Y", "Y", "Y", "Y", "Y", "Re", "Re", "O", "O", "O", "O", "O", "O", "O", "O", "O", "O", "O", "O", "O", "O", "O", "O", "O", "O", "O", "O", "O", "O", "O", "O", "O", "O", "O", "O"],
  "fractional_positions": [[0.000, 0.000, 0.000], [0.500, 0.500, 0.500], [0.500, 0.000, 0.000], [0.733, 0.262, 0.235], [0.000, 0.500, 0.500], [0.233, 0.238, 0.735], [0.267, 0.262, 0.235], [0.267, 0.738, 0.765], [0.500, 0.000, 0.500], [0.767, 0.762, 0.265], [0.733, 0.738, 0.765], [0.767, 0.238, 0.735], [0.000, 0.500, 0.000], [0.233, 0.762, 0.265], [0.500, 0.500, 0.000], [0.000, 0.000, 0.500], [0.500, 0.235, 0.364], [0.769, 0.508, 0.634], [0.000, 0.265, 0.864], [0.000, 0.226, 0.583], [0.000, 0.725, 0.865], [0.231, 0.508, 0.634], [0.269, 0.992, 0.134], [0.269, 0.008, 0.866], [0.318, 0.564, 0.113], [0.318, 0.436, 0.887], [0.500, 0.726, 0.917], [0.500, 0.225, 0.635], [0.500, 0.775, 0.365], [0.500, 0.274, 0.083], [0.682, 0.436, 0.887], [0.682, 0.564, 0.113], [0.731, 0.992, 0.134], [0.731, 0.008, 0.866], [0.769, 0.492, 0.366], [0.818, 0.936, 0.613], [0.818, 0.064, 0.387], [0.000, 0.275, 0.135], [0.000, 0.735, 0.136], [0.000, 0.774, 0.417], [0.182, 0.064, 0.387], [0.182, 0.936, 0.613], [0.231, 0.492, 0.366], [0.500, 0.765, 0.636]]
}

ii.
{
  "formula": "Y7ReO14",
  "functional": "GGA-PBEsol",
  "state": "optimized geometry",
  "lattice_angstrom": [[7.399, 0.000, 0.000], [3.699, 6.408, 0.000], [3.699, 2.136, 6.272]],
  "species": ["Y", "Y", "Y", "Y", "Y", "Y", "Y", "Re", "O", "O", "O", "O", "O", "O", "O", "O", "O", "O", "O", "O", "O", "O"],
  "fractional_positions": [[0.000, 0.000, 0.500], [0.500, 0.000, 0.500], [0.000, 0.500, 0.500], [0.500, 0.500, 0.000], [0.000, 0.500, 0.000], [0.500, 0.000, 0.000], [0.000, 0.000, 0.000], [0.500, 0.500, 0.500], [0.137, 0.137, 0.590], [0.134, 0.599, 0.132], [0.599, 0.134, 0.132], [0.134, 0.134, 0.132], [0.863, 0.863, 0.410], [0.866, 0.401, 0.868], [0.401, 0.866, 0.868], [0.866, 0.866, 0.868], [0.572, 0.199, 0.658], [0.199, 0.572, 0.658], [0.572, 0.572, 0.658], [0.428, 0.801, 0.342], [0.801, 0.428, 0.342], [0.428, 0.428, 0.342]]
}

Q: Which of them is the least stable? A: ii.

i.
{
  "formula": "Sr2RhO4",
  "functional": "GGA-PBEsol",
  "state": "optimized geometry",
  "lattice_angstrom": [[3.871, 0.000, 0.000], [0.000, 3.871, 0.000], [-1.935, -1.935, 6.276]],
  "species": ["Sr", "Sr", "Rh", "O", "O", "O", "O"],
  "fractional_positions": [[0.354, 0.354, 0.709], [0.646, 0.646, 0.291], [0.000, 0.000, 0.000], [0.162, 0.162, 0.324], [0.838, 0.838, 0.676], [0.500, 0.000, 0.000], [0.000, 0.500, 0.000]]
}

ii.
{
  "formula": "Sr2RhO4",
  "functional": "GGA-PBEsol",
  "state": "optimized geometry",
  "lattice_angstrom": [[-4.199, 3.368, 0.491], [-2.714, -2.843, -3.710], [-1.440, -7.726, 10.914]],
  "species": ["Sr", "Sr", "Sr", "Sr", "Sr", "Sr", "Sr", "Sr", "Rh", "Rh", "Rh", "Rh", "O", "O", "O", "O", "O", "O", "O", "O", "O", "O", "O", "O", "O", "O", "O", "O"],
  "fractional_positions": [[0.175, 0.175, 0.351], [0.325, 0.325, 0.649], [0.575, 0.075, 0.149], [0.425, 0.925, 0.851], [0.825, 0.825, 0.649], [0.675, 0.675, 0.351], [0.075, 0.575, 0.149], [0.925, 0.425, 0.851], [0.000, 0.000, 0.000], [0.750, 0.250, 0.500], [0.250, 0.750, 0.500], [0.500, 0.500, 0.000], [0.554, 0.554, 0.500], [0.054, 0.446, 0.500], [0.080, 0.080, 0.159], [0.920, 0.920, 0.841], [0.830, 0.330, 0.659], [0.670, 0.170, 0.341], [0.446, 0.054, 0.500], [0.304, 0.804, 0.000], [0.804, 0.696, 0.000], [0.946, 0.946, 0.500], [0.170, 0.670, 0.341], [0.580, 0.580, 0.159], [0.420, 0.420, 0.841], [0.330, 0.830, 0.659], [0.196, 0.304, 0.000], [0.696, 0.196, 0.000]]
}

Q: Which of them is the least stable? A: i.

i.
{
  "formula": "Sr3Ru2O7",
  "functional": "GGA-PBEsol",
  "state": "optimized geometry",
  "lattice_angstrom": [[5.481, 0.000, 0.000], [0.000, 5.481, 0.000], [-2.741, 0.000, 10.298]],
  "species": ["Sr", "Sr", "Sr", "Sr", "Sr", "Sr", "Ru", "Ru", "Ru", "Ru", "O", "O", "O", "O", "O", "O", "O", "O", "O", "O", "O", "O", "O", "O"],
  "fractional_positions": [[0.186, 0.000, 0.373], [0.814, 0.000, 0.627], [0.314, 0.500, 0.627], [0.000, 0.000, 0.000], [0.686, 0.500, 0.373], [0.500, 0.500, 0.000], [0.903, 0.500, 0.806], [0.403, 0.000, 0.806], [0.597, 0.000, 0.194], [0.097, 0.500, 0.194], [0.193, 0.290, 0.808], [0.307, 0.210, 0.192], [0.614, 0.710, 0.808], [0.386, 0.710, 0.192], [0.805, 0.500, 0.611], [0.807, 0.290, 0.192], [0.195, 0.500, 0.389], [0.695, 0.000, 0.389], [0.693, 0.210, 0.808], [0.305, 0.000, 0.611], [0.000, 0.500, 0.000], [0.886, 0.790, 0.192], [0.500, 0.000, 0.000], [0.114, 0.790, 0.808]]
}

ii.
{
  "formula": "Sr3Ru2O7",
  "functional": "GGA-PBEsol",
  "state": "optimized geometry",
  "lattice_angstrom": [[-0.429, 1.901, 3.376], [-1.341, -3.259, 1.665], [10.361, -1.871, 0.119]],
  "species": ["Sr", "Sr", "Sr", "Ru", "Ru", "O", "O", "O", "O", "O", "O", "O"],
  "fractional_positions": [[0.500, 0.500, 0.000], [0.315, 0.315, 0.631], [0.685, 0.685, 0.369], [0.902, 0.902, 0.804], [0.098, 0.098, 0.196], [0.097, 0.597, 0.194], [0.597, 0.097, 0.194], [0.903, 0.403, 0.806], [0.403, 0.903, 0.806], [0.196, 0.196, 0.392], [0.000, 0.000, 0.000], [0.804, 0.804, 0.608]]
}

Q: Which of them is the least stable? A: ii.